Here is a geometry-optimized PaCoSbO5 structure from the Alexandria database. Energies are from PBE+U.

Unit cell a=7.8487 b=8.6126 c=7.6515 alpha=90.00 beta=113.16 gamma=90.00
Space group C2/c (No. 15)
Symmetry-distinct sites (fractional):
Pa  0.0000  0.0402  0.2500 (multiplicity 4)
Co  0.2500  0.2500  0.0000 (multiplicity 4)
Sb  0.0000  0.4451  0.2500 (multiplicity 4)
O  0.0000  0.1940  0.7500 (multiplicity 4)
O  0.0885  0.2680  0.1409 (multiplicity 8)
O  0.2022  0.0103  0.5367 (multiplicity 8)

E_tot in eV per formula unit: -60.03